VASP calculation (PBE) on an optimized crystal structure of Al2SnSb2.

Cell lengths 7.9281, 7.9281, 3.7485 Å; angles 90.00, 90.00, 90.00 degrees
Last column: nearest neighbours and their distance in Å.
Sites, in units of the cell vectors:
Sb 0.8319 0.3319 0.5000  6 Al 2.96-3.02
Sb 0.1681 0.6681 0.5000  6 Al 2.96-3.02
Sb 0.6681 0.8319 0.5000  6 Al 2.96-3.02
Sb 0.3319 0.1681 0.5000  6 Al 2.96-3.02
Al 0.6271 0.1271 0.0000  1 Al 2.85, 6 Sb 2.96-3.02, 2 Sn 3.12
Al 0.1271 0.3729 0.0000  1 Al 2.85, 6 Sb 2.96-3.02, 2 Sn 3.12
Al 0.3729 0.8729 0.0000  1 Al 2.85, 6 Sb 2.96-3.02, 2 Sn 3.12
Al 0.8729 0.6271 0.0000  1 Al 2.85, 6 Sb 2.96-3.02, 2 Sn 3.12
Sn 0.0000 0.0000 0.0000  4 Al 3.12, 8 Sb 3.49
Sn 0.5000 0.5000 0.0000  4 Al 3.12, 8 Sb 3.49

As for the space group: No. 127. The formation energy without anion corrections is 131 meV/atom. The calculation puts the final energy at -3.815 eV per atom. As for the volume: 235.61 Å³ per cell.

=====

VASP calculation (PBE) on an optimized crystal structure of Al2SnSb.

Cell lengths 5.0312, 5.0312, 5.0312 Å; angles 60.00, 60.00, 60.00 degrees
Last column: nearest neighbours and their distance in Å.
Sites, in units of the cell vectors:
Sb 0.5000 0.5000 0.5000  8 Al 3.08
Al 0.2500 0.2500 0.2500  4 Sn 3.08, 4 Sb 3.08
Al 0.7500 0.7500 0.7500  4 Sn 3.08, 4 Sb 3.08
Sn 0.0000 0.0000 0.0000  8 Al 3.08

As for the space group: No. 225. The formation energy without anion corrections is 209 meV/atom. The calculation puts the final energy at -3.694 eV per atom. As for the volume: 90.05 Å³ per cell.

=====

VASP calculation (PBE) on an optimized crystal structure of AlSnSb2Te.

Cell lengths 5.6579, 5.6579, 5.7509 Å; angles 90.00, 90.00, 90.00 degrees
Last column: nearest neighbours and their distance in Å.
Sites, in units of the cell vectors:
Sb 0.0000 0.5000 0.0000  2 Sn 2.83
Sb 0.5000 0.0000 0.0000  2 Sn 2.83
Sn 0.0000 0.0000 0.0000  4 Sb 2.83, 2 Te 2.88
Al 0.5000 0.5000 0.5000  4 Te 4.00, 8 Sb 4.03
Te 0.0000 0.0000 0.5000  2 Sn 2.88

As for the space group: No. 123. The formation energy without anion corrections is 767 meV/atom. The calculation puts the final energy at -3.059 eV per atom. As for the volume: 184.10 Å³ per cell.

=====

VASP calculation (PBE) on an optimized crystal structure of AlSnSb2Te.

Cell lengths 5.2873, 5.2873, 5.4057 Å; angles 90.00, 90.00, 90.00 degrees
Last column: nearest neighbours and their distance in Å.
Sites, in units of the cell vectors:
Al 0.0000 0.0000 0.0000  4 Sb 2.64, 2 Te 2.70
Sb 0.0000 0.5000 0.0000  2 Al 2.64
Sb 0.5000 0.0000 0.0000  2 Al 2.64
Sn 0.5000 0.5000 0.5000  4 Te 3.74, 8 Sb 3.78
Te 0.0000 0.0000 0.5000  2 Al 2.70

As for the space group: No. 123. The formation energy without anion corrections is 352 meV/atom. The calculation puts the final energy at -3.474 eV per atom. As for the volume: 151.12 Å³ per cell.

=====

VASP calculation (PBE) on an optimized crystal structure of AlZn2SnSb.

Cell lengths 5.1125, 5.4621, 5.1125 Å; angles 90.00, 90.00, 90.00 degrees
Last column: nearest neighbours and their distance in Å.
Sites, in units of the cell vectors:
Sn 0.5000 0.5000 0.5000  4 Al 3.62, 8 Zn 3.74
Sb 0.0000 0.0000 0.0000  4 Zn 2.56, 2 Al 2.73
Zn 0.0000 0.0000 0.5000  2 Sb 2.56
Zn 0.5000 0.0000 0.0000  2 Sb 2.56
Al 0.0000 0.5000 0.0000  2 Sb 2.73

As for the space group: No. 123. The formation energy without anion corrections is 610 meV/atom. The calculation puts the final energy at -2.273 eV per atom. As for the volume: 142.77 Å³ per cell.

=====

VASP calculation (PBE) on an optimized crystal structure of Sr3AlSb3.

Cell lengths 10.8791, 10.8791, 13.6330 Å; angles 90.00, 90.00, 142.68 degrees
Last column: nearest neighbours and their distance in Å.
Sites, in units of the cell vectors:
Sb 0.0513 0.3724 0.8771  1 Al 2.71
Sb 0.3724 0.0513 0.8771  1 Al 2.71
Sb 0.7879 0.7879 0.8924  2 Al 2.74
Sb 0.2879 0.2879 0.6076  2 Al 2.74
Sb 0.4487 0.1276 0.3771  1 Al 2.71
Sb 0.8724 0.5513 0.6229  1 Al 2.71
Sb 0.2121 0.2121 0.1076  2 Al 2.74
Sb 0.9487 0.6276 0.1229  1 Al 2.71
Sb 0.7121 0.7121 0.3924  2 Al 2.74
Sb 0.1276 0.4487 0.3771  1 Al 2.71
Sb 0.6276 0.9487 0.1229  1 Al 2.71
Sb 0.5513 0.8724 0.6229  1 Al 2.71
Sr 0.5214 0.8733 0.8709  1 Al 3.31, 6 Sb 3.37-3.69
Sr 0.1267 0.4786 0.1291  1 Al 3.31, 6 Sb 3.37-3.69
Sr 0.3100 0.3100 0.8540  6 Sb 3.36-3.67, 2 Al 3.43
Sr 0.8733 0.5214 0.8709  1 Al 3.31, 6 Sb 3.37-3.69
Sr 0.8100 0.8100 0.6460  6 Sb 3.36-3.67, 2 Al 3.43
Sr 0.0214 0.3733 0.6291  1 Al 3.31, 6 Sb 3.37-3.69
Sr 0.4786 0.1267 0.1291  1 Al 3.31, 6 Sb 3.37-3.69
Sr 0.6900 0.6900 0.1460  6 Sb 3.36-3.67, 2 Al 3.43
Sr 0.1900 0.1900 0.3540  6 Sb 3.36-3.67, 2 Al 3.43
Sr 0.3733 0.0214 0.6291  1 Al 3.31, 6 Sb 3.37-3.69
Sr 0.6267 0.9786 0.3709  1 Al 3.31, 6 Sb 3.37-3.69
Sr 0.9786 0.6267 0.3709  1 Al 3.31, 6 Sb 3.37-3.69
Al 0.9137 0.0863 0.0000  4 Sb 2.71-2.74
Al 0.0863 0.9137 0.0000  4 Sb 2.71-2.74
Al 0.4137 0.5863 0.5000  4 Sb 2.71-2.74
Al 0.5863 0.4137 0.5000  4 Sb 2.71-2.74

As for the space group: No. 64. The formation energy without anion corrections is -884 meV/atom. The calculation puts the final energy at -3.906 eV per atom. As for the volume: 978.14 Å³ per cell.

=====

VASP calculation (PBE) on an optimized crystal structure of Sr2AlSb2.

Cell lengths 8.0601, 8.0601, 4.8474 Å; angles 90.00, 90.00, 90.00 degrees
Last column: nearest neighbours and their distance in Å.
Sites, in units of the cell vectors:
Sr 0.6754 0.8246 0.5000  6 Sb 3.28-3.47
Sr 0.3246 0.1754 0.5000  6 Sb 3.28-3.47
Sr 0.8246 0.3246 0.5000  6 Sb 3.28-3.47
Sr 0.1754 0.6754 0.5000  6 Sb 3.28-3.47
Sb 0.6301 0.1301 0.0000  1 Sb 2.97, 2 Al 3.16, 2 Sr 3.28
Sb 0.3699 0.8699 0.0000  1 Sb 2.97, 2 Al 3.16, 2 Sr 3.28
Sb 0.1301 0.3699 0.0000  1 Sb 2.97, 2 Al 3.16, 2 Sr 3.28
Sb 0.8699 0.6301 0.0000  1 Sb 2.97, 2 Al 3.16, 2 Sr 3.28
Al 0.5000 0.5000 0.0000  4 Sb 3.16
Al 0.0000 0.0000 0.0000  4 Sb 3.16

As for the space group: No. 127. The formation energy without anion corrections is -580 meV/atom. The calculation puts the final energy at -3.650 eV per atom. As for the volume: 314.92 Å³ per cell.

=====

VASP calculation (PBE) on an optimized crystal structure of Sr5Al2Sb6.

Cell lengths 4.6139, 12.8051, 14.7364 Å; angles 90.00, 90.00, 90.00 degrees
Last column: nearest neighbours and their distance in Å.
Sites, in units of the cell vectors:
Sb 0.5000 0.8394 0.3139  2 Al 2.79
Sb 0.0000 0.4860 0.5980  1 Al 2.89, 1 Sb 2.91
Sb 0.5000 0.3394 0.1861  2 Al 2.79
Sb 0.0000 0.5140 0.4020  1 Al 2.89, 1 Sb 2.91
Sb 0.0000 0.0140 0.0980  1 Al 2.89, 1 Sb 2.91
Sb 0.0000 0.6592 0.0953  1 Al 2.72
Sb 0.0000 0.1592 0.4047  1 Al 2.72
Sb 0.0000 0.9860 0.9020  1 Al 2.89, 1 Sb 2.91
Sb 0.0000 0.3408 0.9047  1 Al 2.72
Sb 0.5000 0.6606 0.8139  2 Al 2.79
Sb 0.0000 0.8408 0.5953  1 Al 2.72
Sb 0.5000 0.1606 0.6861  2 Al 2.79
Al 0.0000 0.8272 0.2086  4 Sb 2.72-2.89
Al 0.0000 0.6728 0.7086  4 Sb 2.72-2.89
Al 0.0000 0.1728 0.7914  4 Sb 2.72-2.89
Al 0.0000 0.3272 0.2914  4 Sb 2.72-2.89
Sr 0.5000 0.8283 0.0156  7 Sb 3.38-3.67, 2 Al 3.66
Sr 0.5000 0.0918 0.2502  6 Sb 3.31-3.37
Sr 0.5000 0.9082 0.7498  6 Sb 3.31-3.37
Sr 0.5000 0.3283 0.4844  7 Sb 3.38-3.67, 2 Al 3.66
Sr 0.5000 0.0000 0.5000  6 Sb 3.38-3.43
Sr 0.5000 0.6717 0.5156  7 Sb 3.38-3.67, 2 Al 3.66
Sr 0.5000 0.5918 0.2498  6 Sb 3.31-3.37
Sr 0.5000 0.4082 0.7502  6 Sb 3.31-3.37
Sr 0.5000 0.1717 0.9844  7 Sb 3.38-3.67, 2 Al 3.66
Sr 0.5000 0.5000 0.0000  6 Sb 3.38-3.43

As for the space group: No. 55. The formation energy without anion corrections is -808 meV/atom. The calculation puts the final energy at -3.933 eV per atom. As for the volume: 870.64 Å³ per cell.

=====

VASP calculation (PBE) on an optimized crystal structure of SrAlSb.

Cell lengths 5.2988, 5.2988, 5.2988 Å; angles 60.00, 60.00, 60.00 degrees
Last column: nearest neighbours and their distance in Å.
Sites, in units of the cell vectors:
Sr 0.7500 0.7500 0.7500  4 Sb 3.24, 4 Al 3.24
Al 0.0000 0.0000 0.0000  4 Sr 3.24
Sb 0.5000 0.5000 0.5000  4 Sr 3.24

As for the space group: No. 216. The formation energy without anion corrections is -21 meV/atom. The calculation puts the final energy at -3.204 eV per atom. As for the volume: 105.20 Å³ per cell.

=====

VASP calculation (PBE) on an optimized crystal structure of SrAl2Sb.

Cell lengths 6.1671, 6.1671, 6.1671 Å; angles 142.90, 130.49, 63.45 degrees
Last column: nearest neighbours and their distance in Å.
Sites, in units of the cell vectors:
Sr 0.2500 0.7500 0.5000  4 Sb 3.24, 8 Al 3.47-3.53
Sb 0.7500 0.2500 0.5000  4 Al 3.03, 4 Sr 3.24
Al 0.9707 0.9707 0.0000  2 Sb 3.03, 4 Al 3.30
Al 0.5293 0.5293 0.0000  2 Sb 3.03, 4 Al 3.30

As for the space group: No. 71. The formation energy without anion corrections is -87 meV/atom. The calculation puts the final energy at -3.410 eV per atom. As for the volume: 106.29 Å³ per cell.

=====

VASP calculation (PBE) on an optimized crystal structure of SrAlSb.

Cell lengths 5.1525, 4.9260, 8.6364 Å; angles 106.57, 107.36, 90.00 degrees
Last column: nearest neighbours and their distance in Å.
Sites, in units of the cell vectors:
Al 0.7338 0.5000 0.0000  1 Al 2.41, 2 Sb 2.70
Al 0.2662 0.5000 0.0000  1 Al 2.41, 2 Sb 2.70
Sr 0.6396 0.1396 0.2793  5 Sb 3.35-3.57, 4 Al 3.51
Sr 0.3604 0.8604 0.7207  5 Sb 3.35-3.57, 4 Al 3.51
Sb 0.1475 0.6475 0.2951  2 Al 2.70
Sb 0.8525 0.3525 0.7049  2 Al 2.70

As for the space group: No. 71. The formation energy without anion corrections is -482 meV/atom. The calculation puts the final energy at -3.664 eV per atom. As for the volume: 199.66 Å³ per cell.

=====

VASP calculation (PBE) on an optimized crystal structure of Sr2AlSb.

Cell lengths 4.6290, 4.6290, 6.7371 Å; angles 90.00, 90.00, 90.00 degrees
Last column: nearest neighbours and their distance in Å.
Sites, in units of the cell vectors:
Sr 0.0000 0.0000 0.9326  2 Al 3.21-3.52, 4 Sb 3.40
Sr 0.5000 0.5000 0.3160  2 Sb 3.23-3.50, 4 Al 3.41
Al 0.0000 0.0000 0.4556  6 Sr 3.21-3.52
Sb 0.5000 0.5000 0.7958  6 Sr 3.23-3.50

As for the space group: No. 99. The formation energy without anion corrections is -195 meV/atom. The calculation puts the final energy at -3.002 eV per atom. As for the volume: 144.36 Å³ per cell.

=====

> What is the formation energy without anion corrections in the sixth record?

-884 meV/atom

=====

> volume of number 10 (SrAl2Sb)?

106.29 Å³ per cell

=====

> final energy of number 9 (SrAlSb)?

-3.204 eV per atom

=====

> The lowest volume belongs to which entry?

Al2SnSb